No. 1
Density functional theory data (PBE-GGA) for an optimized crystal structure of Sr2InHg2.

ΔE to the lowest computed polymorph	0.169	eV/atom
formation energy	-0.3055	eV/atom
SG	P4/mbm, No. 127

```
data_Sr2InHg2
_symmetry_space_group_name_H-M 'P 1'
_symmetry_Int_Tables_number 1
_cell_length_a 9.191
_cell_length_b 9.191
_cell_length_c 4.003
_cell_angle_alpha 90.00
_cell_angle_beta 90.00
_cell_angle_gamma 90.00
loop_
_symmetry_equiv_pos_as_xyz
'x,y,z'
loop_
_atom_site_label
_atom_site_fract_x
_atom_site_fract_y
_atom_site_fract_z
_atom_site_occupancy
Sr1 0.343 0.843 0.000 1
Sr2 0.843 0.657 0.000 1
Sr3 0.657 0.157 0.000 1
Sr4 0.157 0.343 0.000 1
Hg1 0.138 0.638 0.500 1
Hg2 0.638 0.862 0.500 1
Hg3 0.862 0.362 0.500 1
Hg4 0.362 0.138 0.500 1
In1 0.000 0.000 0.000 1
In2 0.500 0.500 0.000 1
```

No. 2
Density functional theory data (PBE-GGA) for an optimized crystal structure of HfGaSb2N.

formation energy (no corrections)	0.256	eV per atom
SG	P4/mmm, No. 123

```
data_HfGaSb2N
_symmetry_space_group_name_H-M 'P 1'
_symmetry_Int_Tables_number 1
_cell_length_a 5.758
_cell_length_b 3.989
_cell_length_c 5.758
_cell_angle_alpha 90.00
_cell_angle_beta 90.00
_cell_angle_gamma 90.00
loop_
_symmetry_equiv_pos_as_xyz
'x,y,z'
loop_
_atom_site_label
_atom_site_fract_x
_atom_site_fract_y
_atom_site_fract_z
_atom_site_occupancy
Sb1 0.000 0.000 0.500 1
Sb2 0.500 0.000 0.000 1
Hf1 0.000 0.000 0.000 1
Ga1 0.500 0.500 0.500 1
N1 0.000 0.500 0.000 1
```

No. 3
Density functional theory data (PBE-GGA) for an optimized crystal structure of CaSeO2F.

formation energy (no corrections)	-0.710	eV per atom
SG	P4/mmm, No. 123

```
data_CaSeO2F
_symmetry_space_group_name_H-M 'P 1'
_symmetry_Int_Tables_number 1
_cell_length_a 4.496
_cell_length_b 4.496
_cell_length_c 4.173
_cell_angle_alpha 90.00
_cell_angle_beta 90.00
_cell_angle_gamma 90.00
loop_
_symmetry_equiv_pos_as_xyz
'x,y,z'
loop_
_atom_site_label
_atom_site_fract_x
_atom_site_fract_y
_atom_site_fract_z
_atom_site_occupancy
Ca1 0.000 0.000 0.000 1
O1 0.000 0.500 0.000 1
O2 0.500 0.000 0.000 1
Se1 0.500 0.500 0.500 1
F1 0.000 0.000 0.500 1
```

No. 4
Density functional theory data (PBE-GGA) for an optimized crystal structure of SmY3Mg6.

formation energy	-0.0876	eV/atom
SG	P2_1/m, No. 11

```
data_SmY3Mg6
_symmetry_space_group_name_H-M 'P 1'
_symmetry_Int_Tables_number 1
_cell_length_a 5.302
_cell_length_b 9.289
_cell_length_c 11.320
_cell_angle_alpha 106.05
_cell_angle_beta 90.00
_cell_angle_gamma 90.00
loop_
_symmetry_equiv_pos_as_xyz
'x,y,z'
loop_
_atom_site_label
_atom_site_fract_x
_atom_site_fract_y
_atom_site_fract_z
_atom_site_occupancy
Sm1 0.250 0.947 0.603 1
Sm2 0.750 0.053 0.397 1
Y1 0.250 0.542 0.396 1
Y2 0.750 0.458 0.604 1
Y3 0.250 0.351 0.796 1
Y4 0.750 0.649 0.204 1
Y5 0.250 0.753 0.002 1
Y6 0.750 0.247 0.998 1
Mg1 0.250 0.444 0.099 1
Mg2 0.750 0.556 0.901 1
Mg3 0.250 0.147 0.195 1
Mg4 0.750 0.853 0.805 1
Mg5 0.250 0.657 0.706 1
Mg6 0.750 0.343 0.294 1
Mg7 0.250 0.247 0.492 1
Mg8 0.750 0.753 0.508 1
Mg9 0.250 0.855 0.298 1
Mg10 0.750 0.145 0.702 1
Mg11 0.250 0.049 0.902 1
Mg12 0.750 0.951 0.098 1
```

No. 5
Density functional theory data (PBE-GGA) for an optimized crystal structure of Tb2Pm2InGa4.

formation energy	-0.1543	eV/atom
SG	I4/mmm, No. 139

```
data_Tb2Pm2InGa4
_symmetry_space_group_name_H-M 'P 1'
_symmetry_Int_Tables_number 1
_cell_length_a 6.872
_cell_length_b 6.872
_cell_length_c 6.872
_cell_angle_alpha 94.74
_cell_angle_beta 117.30
_cell_angle_gamma 117.30
loop_
_symmetry_equiv_pos_as_xyz
'x,y,z'
loop_
_atom_site_label
_atom_site_fract_x
_atom_site_fract_y
_atom_site_fract_z
_atom_site_occupancy
Tb1 0.500 0.750 0.250 1
Tb2 0.500 0.250 0.750 1
Pm1 0.000 0.687 0.687 1
Pm2 0.000 0.313 0.313 1
In1 0.000 0.000 0.000 1
Ga1 0.000 0.741 0.259 1
Ga2 0.482 0.741 0.741 1
Ga3 0.000 0.259 0.741 1
Ga4 0.518 0.259 0.259 1
```

No. 6
Density functional theory data (PBE-GGA) for an optimized crystal structure of AcDyCuAu.

ΔE to the lowest computed polymorph	0.050	eV/atom
formation energy	-0.4211	eV/atom
SG	F-43m, No. 216

```
data_AcDyCuAu
_symmetry_space_group_name_H-M 'P 1'
_symmetry_Int_Tables_number 1
_cell_length_a 5.264
_cell_length_b 5.264
_cell_length_c 5.264
_cell_angle_alpha 60.00
_cell_angle_beta 60.00
_cell_angle_gamma 60.00
loop_
_symmetry_equiv_pos_as_xyz
'x,y,z'
loop_
_atom_site_label
_atom_site_fract_x
_atom_site_fract_y
_atom_site_fract_z
_atom_site_occupancy
Ac1 0.500 0.500 0.500 1
Au1 0.750 0.750 0.750 1
Cu1 0.250 0.250 0.250 1
Dy1 0.000 0.000 0.000 1
```

No. 7
Density functional theory data (PBE-GGA) for an optimized crystal structure of Ni2Ru2Pt.

ΔE to the lowest computed polymorph	0.234	eV/atom
formation energy	0.4876	eV/atom
SG	I4/mmm, No. 139

```
data_Ni2Ru2Pt
_symmetry_space_group_name_H-M 'P 1'
_symmetry_Int_Tables_number 1
_cell_length_a 6.192
_cell_length_b 6.192
_cell_length_c 6.192
_cell_angle_alpha 146.75
_cell_angle_beta 146.75
_cell_angle_gamma 47.73
loop_
_symmetry_equiv_pos_as_xyz
'x,y,z'
loop_
_atom_site_label
_atom_site_fract_x
_atom_site_fract_y
_atom_site_fract_z
_atom_site_occupancy
Ni1 0.598 0.598 0.000 1
Ni2 0.402 0.402 0.000 1
Ru1 0.250 0.750 0.500 1
Ru2 0.750 0.250 0.500 1
Pt1 0.000 0.000 0.000 1
```

No. 8
Density functional theory data (PBE-GGA) for an optimized crystal structure of LiTeIr.

formation energy (no corrections)	-0.248	eV per atom
ΔE to the lowest computed polymorph	0.000	eV/atom
SG	F-43m, No. 216

```
data_LiTeIr
_symmetry_space_group_name_H-M 'P 1'
_symmetry_Int_Tables_number 1
_cell_length_a 4.329
_cell_length_b 4.329
_cell_length_c 4.329
_cell_angle_alpha 60.00
_cell_angle_beta 60.00
_cell_angle_gamma 60.00
loop_
_symmetry_equiv_pos_as_xyz
'x,y,z'
loop_
_atom_site_label
_atom_site_fract_x
_atom_site_fract_y
_atom_site_fract_z
_atom_site_occupancy
Ir1 0.250 0.250 0.250 1
Li1 0.000 0.000 0.000 1
Te1 0.500 0.500 0.500 1
```

No. 9
Density functional theory data (PBE-GGA) for an optimized crystal structure of ErGa3NiAu.

formation energy	-0.3619	eV/atom
SG	Cmcm, No. 63

```
data_ErGa3NiAu
_symmetry_space_group_name_H-M 'P 1'
_symmetry_Int_Tables_number 1
_cell_length_a 5.989
_cell_length_b 5.853
_cell_length_c 6.837
_cell_angle_alpha 115.34
_cell_angle_beta 90.00
_cell_angle_gamma 90.00
loop_
_symmetry_equiv_pos_as_xyz
'x,y,z'
loop_
_atom_site_label
_atom_site_fract_x
_atom_site_fract_y
_atom_site_fract_z
_atom_site_occupancy
Er1 0.750 0.284 0.568 1
Er2 0.250 0.716 0.432 1
Ga1 0.250 0.132 0.263 1
Ga2 0.000 0.284 0.000 1
Ga3 0.500 0.716 0.000 1
Ga4 0.500 0.284 0.000 1
Ga5 0.000 0.716 0.000 1
Ga6 0.750 0.868 0.737 1
Ni1 0.250 0.927 0.854 1
Ni2 0.750 0.073 0.146 1
Au1 0.250 0.338 0.677 1
Au2 0.750 0.662 0.323 1
```

No. 10
Density functional theory data (PBE-GGA) for an optimized crystal structure of Zr2TaMo.

ΔE to the lowest computed polymorph	0.134	eV/atom
formation energy	0.1180	eV/atom
SG	P4/mmm, No. 123

```
data_Zr2TaMo
_symmetry_space_group_name_H-M 'P 1'
_symmetry_Int_Tables_number 1
_cell_length_a 3.347
_cell_length_b 3.347
_cell_length_c 6.993
_cell_angle_alpha 90.00
_cell_angle_beta 90.00
_cell_angle_gamma 90.00
loop_
_symmetry_equiv_pos_as_xyz
'x,y,z'
loop_
_atom_site_label
_atom_site_fract_x
_atom_site_fract_y
_atom_site_fract_z
_atom_site_occupancy
Mo1 0.500 0.500 0.250 1
Ta1 0.500 0.500 0.750 1
Zr1 0.000 0.000 0.015 1
Zr2 0.000 0.000 0.485 1
```

No. 11
Density functional theory data (PBE-GGA) for an optimized crystal structure of MnPIr2.

formation energy	-0.2108	eV/atom
SG	Amm2, No. 38

```
data_MnPIr2
_symmetry_space_group_name_H-M 'P 1'
_symmetry_Int_Tables_number 1
_cell_length_a 3.681
_cell_length_b 2.821
_cell_length_c 5.437
_cell_angle_alpha 74.99
_cell_angle_beta 90.00
_cell_angle_gamma 90.00
loop_
_symmetry_equiv_pos_as_xyz
'x,y,z'
loop_
_atom_site_label
_atom_site_fract_x
_atom_site_fract_y
_atom_site_fract_z
_atom_site_occupancy
Ir1 0.000 0.821 0.982 1
Ir2 0.500 0.176 0.273 1
Mn1 0.000 0.546 0.534 1
P1 0.500 0.957 0.711 1
```

VASP energy, record by record: -1.647; -5.654; -4.164; -3.455; -3.888; -4.442; -6.743; -4.887; -4.146; -9.827; -8.286 eV per atom